[1]
Nd3TlHg2 PBE relaxed; energy of formation from the pure elements = -0.44 eV per atom; crystal system = orthorhombic; raw total energy = -0.1219 hartree per atom
1.0
3.8722 0.0000 0.0000
0.0000 5.1779 -1.7141
0.0000 -0.0107 8.6450
Nd Hg Tl
3 2 1
Direct
0.5000 0.5000 0.0000 Nd
0.5000 0.1695 0.3390 Nd
0.5000 0.8305 0.6610 Nd
0.0000 0.3338 0.6676 Hg
0.0000 0.6662 0.3324 Hg
0.0000 0.0000 0.0000 Tl

---

[2]
Cd3Rh PBE relaxed; energy of formation from the pure elements = -0.10 eV per atom; crystal system = cubic; raw total energy = -0.0964 hartree per atom
1.0
4.2059 0.0000 0.0000
0.0000 4.2000 0.0000
0.0000 0.0000 4.2093
Cd Rh
3 1
Direct
0.5000 0.5000 0.0833 Cd
0.0000 0.5000 0.5833 Cd
0.0000 0.0000 0.0833 Cd
0.5000 0.0000 0.5833 Rh

---

[3]
GaSiH2 PBE relaxed; crystal system = triclinic; distance to the lowest polymorph of the same formula = 0.0110 eV/atom; raw total energy = -0.1337 hartree per atom
1.0
4.2297 -0.0002 -0.0001
1.3340 5.1203 0.0001
1.6515 1.3398 5.8589
H Si Ga
4 2 2
Direct
0.1326 0.9415 0.7057 H
0.5411 0.4687 0.6819 H
0.6191 0.1000 0.4464 H
0.3126 0.6297 0.3492 H
0.1419 0.5806 0.1730 Si
0.0436 0.0116 0.9366 Si
0.6900 0.3818 0.4285 Ga
0.4647 0.2407 0.9609 Ga

---

[4]
HgPCl4 PBE relaxed; ΔE_f (raw) = 0.916 eV per atom; crystal system = cubic; raw total energy = -0.0466 hartree per atom
1.0
0.0000 4.1922 4.1922
4.1922 0.0000 4.1922
4.1922 4.1922 0.0000
Cl Hg P
4 1 1
Direct
0.3750 0.8751 0.3750 Cl
0.3750 0.3750 0.3750 Cl
0.8751 0.3750 0.3750 Cl
0.3750 0.3750 0.8751 Cl
0.7500 0.7500 0.7500 Hg
0.0000 0.0000 0.0000 P

---

[5]
Be2CoRe PBE relaxed; energy of formation from the pure elements = 0.08 eV per atom; crystal system = cubic; distance to the lowest polymorph of the same formula = 0.2380 eV/atom; raw total energy = -0.2454 hartree per atom
1.0
3.9383 0.0000 0.0000
1.9692 3.4107 0.0000
1.9692 1.1369 3.2156
Re Co Be
1 1 2
Direct
0.7500 0.7500 0.7500 Re
0.5000 0.5000 0.5000 Co
0.2500 0.2500 0.2500 Be
0.0000 0.0000 0.0000 Be

---

[6]
Sc2CoRe PBE relaxed; energy of formation from the pure elements = -0.08 eV per atom; crystal system = tetragonal; raw total energy = -0.2990 hartree per atom
1.0
-1.3052 2.3284 -1.7173
-2.7702 -0.4559 1.4874
1.7222 4.3041 4.5266
Sc Re Co
2 1 1
Direct
0.0000 0.0000 0.4907 Sc
0.0000 0.0000 0.0093 Sc
0.5000 0.5000 0.7500 Re
0.5000 0.5000 0.2500 Co

---

- What is the raw total energy in the fourth record?
  -0.0466 hartree per atom

---

- Among the records above, which one has the highest raw total energy?
  HgPCl4

---

- The highest raw total energy belongs to which entry?
  HgPCl4

---

- What is the formula in the third record?
  GaSiH2